Entry from the Alexandria database: an optimized crystal structure of Er6TmTl (PBE).

**Distance to the lowest polymorph of the same formula**: 0 meV/atom
**Fermi-level density of states**: 8.7 states/eV/cell
**Symmetry**: P4/mmm (123)

Cell lengths 4.863, 4.863, 9.907 Å; angles 90.00, 90.00, 90.00 degrees
Sites, in units of the cell vectors:
Er (0.500, 0.500, 0.500)
Er (0.000, 0.500, 0.747)
Tm (0.000, 0.000, 0.000)
Er (0.000, 0.500, 0.253)
Tl (0.000, 0.000, 0.500)
Er (0.500, 0.500, 0.000)
Er (0.500, 0.000, 0.747)
Er (0.500, 0.000, 0.253)

Entry from the Alexandria database: an optimized crystal structure of Er3Tm2Tl4 (PBE).

**Fermi-level density of states**: 12.7 states/eV/cell
**Symmetry**: Cmce (64)

Cell lengths 7.081, 9.488, 8.539 Å; angles 90.00, 114.50, 90.00 degrees
Sites, in units of the cell vectors:
Er (0.000, 0.000, 0.000)
Er (0.500, 0.500, 0.000)
Tl (0.194, 0.967, 0.389)
Er (0.539, 0.750, 0.579)
Tm (0.109, 0.555, 0.217)
Tl (0.761, 0.250, 0.021)
Tm (0.609, 0.945, 0.217)
Tl (0.306, 0.467, 0.611)
Tm (0.391, 0.055, 0.783)
Tl (0.739, 0.750, 0.979)
Tl (0.694, 0.533, 0.389)
Tl (0.239, 0.750, 0.979)
Er (0.461, 0.250, 0.421)
Er (0.039, 0.750, 0.579)
Tl (0.261, 0.250, 0.021)
Er (0.961, 0.250, 0.421)
Tm (0.891, 0.445, 0.783)
Tl (0.806, 0.033, 0.611)

Entry from the Alexandria database: an optimized crystal structure of Er2Tm5Tl (PBE).

**Distance to the lowest polymorph of the same formula**: 56 meV/atom
**Fermi-level density of states**: 10.8 states/eV/cell
**Symmetry**: C2/m (12)

Cell lengths 3.459, 11.106, 10.299 Å; angles 122.63, 126.32, 90.00 degrees
Sites, in units of the cell vectors:
Tl (0.000, 0.000, 0.000)
Tm (0.708, 0.362, 0.246)
Er (0.591, 0.248, 0.496)
Tm (0.292, 0.116, 0.754)
Er (0.409, 0.752, 0.504)
Tm (0.708, 0.884, 0.246)
Tm (0.292, 0.638, 0.754)
Tm (0.000, 0.500, 0.000)

Entry from the Alexandria database: an optimized crystal structure of Er5Tm4Tl2 (PBE).

**Fermi-level density of states**: 12.9 states/eV/cell
**Symmetry**: C2/m (12)

Cell lengths 3.522, 9.099, 12.370 Å; angles 118.37, 98.18, 90.00 degrees
Sites, in units of the cell vectors:
Er (0.176, 0.969, 0.352)
Er (0.128, 0.300, 0.255)
Tl (0.264, 0.350, 0.529)
Tm (0.016, 0.711, 0.032)
Er (0.872, 0.700, 0.745)
Tl (0.736, 0.650, 0.471)
Er (0.500, 0.000, 0.000)
Er (0.824, 0.031, 0.648)
Tm (0.602, 0.588, 0.205)
Tm (0.984, 0.289, 0.968)
Tm (0.398, 0.412, 0.795)

no.,energy relative to the elements (kcal/mol of atoms)
1,-1.70
2,-3.60
3,0.27
4,2.04